The following is a DFT calculation (PBE with a Hubbard U) of a relaxed structure of K6Cr2O9.

Computed properties:
DFT total energy in eV/atom: -5.41
M_tot in μB/f.u.: 2.0

a b c (Å): 6.429 6.429 7.759
angles (deg): 91.01 91.01 80.67
Sites, in units of the cell vectors:
K1 0.000 0.000 0.000
K2 0.003 0.488 0.758
K3 0.488 0.003 0.758
K4 0.507 0.995 0.255
K5 0.523 0.523 0.494
K6 0.995 0.507 0.255
Cr1 0.523 0.523 0.961
Cr2 0.976 0.976 0.483
O1 0.089 0.089 0.655
O2 0.178 0.830 0.365
O3 0.270 0.270 0.041
O4 0.326 0.671 0.848
O5 0.402 0.402 0.136
O6 0.671 0.326 0.848
O7 0.691 0.691 0.037
O8 0.800 0.800 0.529
O9 0.830 0.178 0.365